Density functional theory data (PBE with a Hubbard U) for crystalline Na3Co6AgP8O28 at its relaxed geometry.

The structure in POSCAR format:
```
Na3Co6AgP8O28
1.0
-4.375 -0.498 3.085
-3.248 -5.142 -2.059
5.646 -11.154 10.782
O P Ag Co Na
28 8 1 6 3
direct
0.074 0.304 0.825 O
0.421 0.296 0.411 O
0.999 0.026 0.223 O
0.843 0.346 0.654 O
0.568 0.457 0.264 O
0.122 0.985 0.584 O
0.407 0.840 0.455 O
0.578 0.164 0.546 O
0.811 0.409 0.444 O
0.743 0.646 0.912 O
0.571 0.707 0.588 O
0.933 0.698 0.173 O
0.424 0.548 0.734 O
0.009 0.971 0.778 O
0.149 0.655 0.345 O
0.725 0.400 0.097 O
0.581 0.052 0.158 O
0.814 0.713 0.703 O
0.624 0.868 0.298 O
0.182 0.289 0.295 O
0.270 0.360 0.086 O
0.181 0.590 0.558 O
0.324 0.856 0.999 O
0.380 0.131 0.701 O
0.285 0.601 0.903 O
0.866 0.015 0.419 O
0.694 0.134 0.004 O
0.422 0.950 0.843 O
0.685 0.224 0.455 P
0.797 0.904 0.217 P
0.446 0.750 0.920 P
0.566 0.250 0.081 P
0.660 0.574 0.675 P
0.335 0.428 0.324 P
0.210 0.094 0.783 P
0.304 0.777 0.545 P
0.624 0.269 0.861 Ag
0.784 0.724 0.408 Co
0.216 0.961 0.342 Co
0.950 0.366 0.195 Co
0.054 0.636 0.805 Co
0.206 0.275 0.592 Co
0.772 0.041 0.655 Co
0.375 0.720 0.140 Na
0.925 0.737 0.021 Na
0.090 0.256 0.979 Na
```

Output
* Fermi-level density of states: 0.00 states/eV/atom
* M_tot: 2.2 μB per formula unit
* uncorrected energy: -6.603 eV/atom